# NdTiIr

An optimized crystal structure of NdTiIr (PBE, Alexandria).

As for the density of states at the Fermi level: 6.9 states/eV/cell. The calculation puts the energy at -7.827 eV/atom. The space group is P4/nmm (129).

The structure in POSCAR format:
```
NdTiIr
1.0
4.4412 0.0000 0.0000
0.0000 4.4412 0.0000
0.0000 0.0000 6.7011
Nd Ti Ir
2 2 2
Direct
0.2500 0.2500 0.1417
0.7500 0.7500 0.8583
0.2500 0.7500 0.5000
0.7500 0.2500 0.5000
0.2500 0.2500 0.6945
0.7500 0.7500 0.3055
```